# 1
Ag2BiIr: relaxed, PBE.

Lattice parameters (Å, degrees): 4.7578 4.7578 4.7578 60.00 60.00 60.00
Fractional coordinates of all 4 atoms:
Ag: 0.0000 0.0000 0.0000
Ag: 0.2500 0.2500 0.2500
Bi: 0.5000 0.5000 0.5000
Ir: 0.7500 0.7500 0.7500

Output
E_tot	-4.32	eV/atom
symmetry	No. 216
M_tot	0.0	μB per formula unit

# 2
BaTcIr2: relaxed, PBE.

Lattice parameters (Å, degrees): 4.7432 4.7432 4.7432 60.00 60.00 60.00
Fractional coordinates of all 4 atoms:
Ba: 0.0000 0.0000 0.0000
Tc: 0.7500 0.7500 0.7500
Ir: 0.2500 0.2500 0.2500
Ir: 0.5000 0.5000 0.5000

Output
E_tot	-6.42	eV/atom
symmetry	No. 216
M_tot	0.0	μB per formula unit

Please write out number 1 again, unchanged.
Ag2BiIr: relaxed, PBE.

Lattice parameters (Å, degrees): 4.7578 4.7578 4.7578 60.00 60.00 60.00
Fractional coordinates of all 4 atoms:
Ag: 0.0000 0.0000 0.0000
Ag: 0.2500 0.2500 0.2500
Bi: 0.5000 0.5000 0.5000
Ir: 0.7500 0.7500 0.7500

Output
E_tot	-4.32	eV/atom
symmetry	No. 216
M_tot	0.0	μB per formula unit